Entry from the Alexandria database: a relaxed structure of GaMoO2 (PBE+U).

Results
Fermi-level density of states, states/eV/cell: 1.0
DFT total energy, eV per atom: -6.246
Calculated volume, A^3/atom: 14.67

Lattice parameters (Å, degrees): 6.607 6.607 6.607 28.66 28.66 28.66
Fractional coordinates of all 4 atoms:
Ga: 0.000 0.000 0.000
Mo: 0.500 0.500 0.500
O: 0.111 0.111 0.111
O: 0.889 0.889 0.889